VASP calculation (SCAN) on a PBEsol-optimized structure of H3RuW.

abc: 3.4213 3.4213 3.4213
angles: 90.00 90.00 90.00
Fractional coordinates of all 5 atoms:
H (0.0000, 0.0000, 0.5000)
H (0.0000, 0.5000, 0.0000)
H (0.5000, 0.0000, 0.0000)
Ru (0.5000, 0.5000, 0.5000)
W (0.0000, 0.0000, 0.0000)

## Properties
Calculated total energy: -1.634 Ry/atom
Magnetic moment: 1.58 Bohr magnetons per cell

---

VASP calculation (SCAN) on a PBEsol-optimized structure of H2Ru2W.

abc: 2.8405 2.8405 11.9373
angles: 90.00 90.00 90.00
Fractional coordinates of all 10 atoms:
H (0.0000, 0.5000, 0.2500)
H (0.0000, 0.5000, 0.7500)
H (0.5000, 0.0000, 0.2500)
H (0.5000, 0.0000, 0.7500)
Ru (0.0000, 0.0000, 0.1496)
Ru (0.0000, 0.0000, 0.8504)
Ru (0.5000, 0.5000, 0.3504)
Ru (0.5000, 0.5000, 0.6496)
W (0.0000, 0.0000, 0.5000)
W (0.5000, 0.5000, 0.0000)

## Properties
Calculated total energy: -2.144 Ry/atom
Magnetic moment: 0.00 Bohr magnetons per cell

---

VASP calculation (SCAN) on a PBEsol-optimized structure of HRu3W.

abc: 5.5012 5.5012 4.3650
angles: 90.00 90.00 120.00
Fractional coordinates of all 10 atoms:
H (0.0000, 0.0000, 0.0000)
H (0.0000, 0.0000, 0.5000)
Ru (0.1706, 0.3412, 0.2500)
Ru (0.1706, 0.8294, 0.2500)
Ru (0.3412, 0.1706, 0.7500)
Ru (0.6588, 0.8294, 0.2500)
Ru (0.8294, 0.1706, 0.7500)
Ru (0.8294, 0.6588, 0.7500)
W (0.3333, 0.6667, 0.7500)
W (0.6667, 0.3333, 0.2500)

## Properties
Calculated total energy: -2.618 Ry/atom
ΔE to the lowest computed polymorph: 0.0 meV/atom
Magnetic moment: 0.00 Bohr magnetons per cell

---

VASP calculation (SCAN) on a PBEsol-optimized structure of HRu3W.

abc: 3.8555 3.8555 3.8555
angles: 90.00 90.00 90.00
Fractional coordinates of all 5 atoms:
H (0.0000, 0.0000, 0.0000)
Ru (0.0000, 0.0000, 0.5000)
Ru (0.0000, 0.5000, 0.0000)
Ru (0.5000, 0.0000, 0.0000)
W (0.5000, 0.5000, 0.5000)

## Properties
Calculated total energy: -2.613 Ry/atom
ΔE to the lowest computed polymorph: 57.6 meV/atom
Magnetic moment: 0.00 Bohr magnetons per cell

---

VASP calculation (SCAN) on a PBEsol-optimized structure of YH2Ru2.

abc: 3.6186 3.6186 8.7890
angles: 90.00 90.00 90.00
Fractional coordinates of all 10 atoms:
Y (0.0000, 0.0000, 0.0000)
Y (0.5000, 0.5000, 0.5000)
H (0.0000, 0.5000, 0.2500)
H (0.0000, 0.5000, 0.7500)
H (0.5000, 0.0000, 0.2500)
H (0.5000, 0.0000, 0.7500)
Ru (0.0000, 0.0000, 0.3173)
Ru (0.0000, 0.0000, 0.6827)
Ru (0.5000, 0.5000, 0.1827)
Ru (0.5000, 0.5000, 0.8173)

## Properties
Calculated total energy: -1.532 Ry/atom
Magnetic moment: 0.00 Bohr magnetons per cell

---

VASP calculation (SCAN) on a PBEsol-optimized structure of YH3Ru.

abc: 3.5944 3.5944 3.5944
angles: 90.00 90.00 90.00
Fractional coordinates of all 5 atoms:
Y (0.0000, 0.0000, 0.0000)
H (0.0000, 0.5000, 0.5000)
H (0.5000, 0.0000, 0.5000)
H (0.5000, 0.5000, 0.0000)
Ru (0.5000, 0.5000, 0.5000)

## Properties
Calculated total energy: -1.112 Ry/atom
Magnetic moment: 0.34 Bohr magnetons per cell

---

VASP calculation (SCAN) on a PBEsol-optimized structure of Y3HRu.

abc: 4.5850 4.5850 4.5850
angles: 90.00 90.00 90.00
Fractional coordinates of all 5 atoms:
Y (0.0000, 0.0000, 0.5000)
Y (0.0000, 0.5000, 0.0000)
Y (0.5000, 0.0000, 0.0000)
H (0.0000, 0.0000, 0.0000)
Ru (0.5000, 0.5000, 0.5000)

## Properties
Calculated total energy: -1.795 Ry/atom
Magnetic moment: 0.00 Bohr magnetons per cell

---

VASP calculation (SCAN) on a PBEsol-optimized structure of ZnHRu2.

abc: 5.6634 5.6634 5.6634
angles: 90.00 90.00 90.00
Fractional coordinates of all 16 atoms:
Zn (0.0000, 0.0000, 0.0000)
Zn (0.0000, 0.5000, 0.5000)
Zn (0.5000, 0.0000, 0.5000)
Zn (0.5000, 0.5000, 0.0000)
H (0.0000, 0.0000, 0.5000)
H (0.0000, 0.5000, 0.0000)
H (0.5000, 0.0000, 0.0000)
H (0.5000, 0.5000, 0.5000)
Ru (0.2500, 0.2500, 0.2500)
Ru (0.2500, 0.2500, 0.7500)
Ru (0.2500, 0.7500, 0.2500)
Ru (0.2500, 0.7500, 0.7500)
Ru (0.7500, 0.2500, 0.2500)
Ru (0.7500, 0.2500, 0.7500)
Ru (0.7500, 0.7500, 0.2500)
Ru (0.7500, 0.7500, 0.7500)

## Properties
Calculated total energy: -1.530 Ry/atom
Magnetic moment: 0.01 Bohr magnetons per cell

---

VASP calculation (SCAN) on a PBEsol-optimized structure of ZnHRu3.

abc: 3.8272 3.8272 3.8272
angles: 90.00 90.00 90.00
Fractional coordinates of all 5 atoms:
Zn (0.0000, 0.0000, 0.0000)
H (0.5000, 0.5000, 0.5000)
Ru (0.0000, 0.5000, 0.5000)
Ru (0.5000, 0.0000, 0.5000)
Ru (0.5000, 0.5000, 0.0000)

## Properties
Calculated total energy: -1.767 Ry/atom
Magnetic moment: 2.70 Bohr magnetons per cell

---

VASP calculation (SCAN) on a PBEsol-optimized structure of Zr3HRu.

abc: 4.2987 4.2987 4.2987
angles: 90.00 90.00 90.00
Fractional coordinates of all 5 atoms:
Zr (0.0000, 0.0000, 0.5000)
Zr (0.0000, 0.5000, 0.0000)
Zr (0.5000, 0.0000, 0.0000)
H (0.0000, 0.0000, 0.0000)
Ru (0.5000, 0.5000, 0.5000)

## Properties
Calculated total energy: -1.928 Ry/atom
Magnetic moment: 0.00 Bohr magnetons per cell

---

VASP calculation (SCAN) on a PBEsol-optimized structure of SbHS2.

abc: 6.1269 6.1269 6.8976
angles: 90.00 90.00 90.00
Fractional coordinates of all 16 atoms:
Sb (0.0000, 0.0000, 0.0000)
Sb (0.0000, 0.5000, 0.2500)
Sb (0.5000, 0.0000, 0.7500)
Sb (0.5000, 0.5000, 0.5000)
H (0.0000, 0.0000, 0.5000)
H (0.0000, 0.5000, 0.7500)
H (0.5000, 0.0000, 0.2500)
H (0.5000, 0.5000, 0.0000)
S (0.1687, 0.2500, 0.6250)
S (0.2500, 0.6687, 0.8750)
S (0.2500, 0.8313, 0.3750)
S (0.3313, 0.2500, 0.1250)
S (0.6687, 0.7500, 0.1250)
S (0.7500, 0.1687, 0.3750)
S (0.7500, 0.3313, 0.8750)
S (0.8313, 0.7500, 0.6250)

## Properties
Calculated total energy: -1.068 Ry/atom
Magnetic moment: 0.00 Bohr magnetons per cell

---

VASP calculation (SCAN) on a PBEsol-optimized structure of Sb2TeHS.

abc: 5.1247 5.1247 5.3679
angles: 90.00 90.00 90.00
Fractional coordinates of all 5 atoms:
Sb (0.0000, 0.5000, 0.0000)
Sb (0.5000, 0.0000, 0.0000)
Te (0.0000, 0.0000, 0.5000)
H (0.5000, 0.5000, 0.5000)
S (0.0000, 0.0000, 0.0000)

## Properties
Calculated total energy: -1.756 Ry/atom
Magnetic moment: 0.15 Bohr magnetons per cell

---

Q: Number 1 is which compound?
A: H3RuW